(1)
# KNbNiSe3

A geometry-optimized KNbNiSe3 structure (PBE, the Alexandria database).

a = 3.6952 Å, b = 8.7463 Å, c = 9.7331 Å
α = 115.18°, β = 90.00°, γ = 90.00°
With the nearest neighbours (Å) after each atom.
Element x y z (fractional)
Se 0.2500 0.1015 0.8569  1 Ni 2.38, 2 Nb 2.61
Se 0.2500 0.5348 0.8664  3 Nb 2.71-2.76
Se 0.7500 0.4652 0.1336  3 Nb 2.71-2.76
Se 0.7500 0.2199 0.5412  3 Ni 2.40-2.47, 1 Nb 2.52
Se 0.2500 0.7801 0.4588  3 Ni 2.40-2.47, 1 Nb 2.52
Se 0.7500 0.8985 0.1431  1 Ni 2.38, 2 Nb 2.61
Nb 0.2500 0.7079 0.1787  6 Se 2.52-2.76, 2 Ni 2.78
Nb 0.7500 0.2921 0.8213  6 Se 2.52-2.76, 2 Ni 2.78
K 0.2500 0.2461 0.2605  7 Se 3.26-3.58
K 0.7500 0.7539 0.7395  7 Se 3.26-3.58
Ni 0.7500 0.9107 0.3919  4 Se 2.38-2.47
Ni 0.2500 0.0893 0.6081  4 Se 2.38-2.47

Values from the calculation:
The density of states at the Fermi level comes out at 0.113 states/eV/atom. Its volume is 23.7 Å³ per atom. The calculation puts the theoretical density at 4.99 g cm⁻³. Its magnetic moment is 0.000 Bohr magnetons per cell. Its space group is P2_1/m, No. 11. The calculation puts the calculated total energy at -32.6 eV per formula unit.

(2)
# Mg3Ir4

A geometry-optimized Mg3Ir4 structure (PBE, the Alexandria database).

a = 14.5247 Å, b = 14.5247 Å, c = 14.5247 Å
α = 168.92°, β = 168.92°, γ = 15.70°
With the nearest neighbours (Å) after each atom.
Element x y z (fractional)
Ir 0.1346 0.1346 0.0000  8 Ir 2.68-2.80, 4 Mg 2.80
Ir 0.8654 0.8654 0.0000  8 Ir 2.68-2.80, 4 Mg 2.80
Ir 0.4279 0.4279 0.0000  8 Ir 2.68-2.80, 4 Mg 2.87
Ir 0.5721 0.5721 0.0000  8 Ir 2.68-2.80, 4 Mg 2.87
Mg 0.2968 0.2968 0.0000  4 Ir 2.80, 4 Mg 2.80
Mg 0.7032 0.7032 0.0000  4 Ir 2.80, 4 Mg 2.80
Mg 0.0000 0.0000 0.0000  4 Mg 2.80, 8 Ir 2.87

Values from the calculation:
Its polymorph energy (0 for the lowest one) is 0.0 meV/atom. The density of states at the Fermi level comes out at 1.030 states/eV/atom. Its volume is 16.2 Å³ per atom. The calculation puts the theoretical density at 12.35 g cm⁻³. As for the energy relative to the elements: -1.095 eV per formula unit. Its magnetic moment is 0.000 Bohr magnetons per cell. Its space group is I4/mmm, No. 139.

(3)
# LiGdLuIn

A geometry-optimized LiGdLuIn structure (PBE, the Alexandria database).

a = 5.2384 Å, b = 5.2384 Å, c = 5.2384 Å
α = 60.00°, β = 60.00°, γ = 60.00°
With the nearest neighbours (Å) after each atom.
Element x y z (fractional)
In 0.5000 0.5000 0.5000  4 Lu 3.21, 4 Gd 3.21
Gd 0.2500 0.2500 0.2500  4 In 3.21, 4 Li 3.21
Lu 0.7500 0.7500 0.7500  4 Li 3.21, 4 In 3.21
Li 0.0000 0.0000 0.0000  4 Gd 3.21, 4 Lu 3.21

Values from the calculation:
The density of states at the Fermi level comes out at 0.674 states/eV/atom. Its volume is 25.4 Å³ per atom. The calculation puts the theoretical density at 7.42 g cm⁻³. As for the energy relative to the elements: -1.035 eV per formula unit. Its magnetic moment is 7.622 Bohr magnetons per cell. Its space group is F-43m, No. 216.

Question: Which value of theoretical density does entry 2 give?
Answer: 12.35 g cm⁻³

What did the second record say?
# Mg3Ir4

A geometry-optimized Mg3Ir4 structure (PBE, the Alexandria database).

a = 14.5247 Å, b = 14.5247 Å, c = 14.5247 Å
α = 168.92°, β = 168.92°, γ = 15.70°
With the nearest neighbours (Å) after each atom.
Element x y z (fractional)
Ir 0.1346 0.1346 0.0000  8 Ir 2.68-2.80, 4 Mg 2.80
Ir 0.8654 0.8654 0.0000  8 Ir 2.68-2.80, 4 Mg 2.80
Ir 0.4279 0.4279 0.0000  8 Ir 2.68-2.80, 4 Mg 2.87
Ir 0.5721 0.5721 0.0000  8 Ir 2.68-2.80, 4 Mg 2.87
Mg 0.2968 0.2968 0.0000  4 Ir 2.80, 4 Mg 2.80
Mg 0.7032 0.7032 0.0000  4 Ir 2.80, 4 Mg 2.80
Mg 0.0000 0.0000 0.0000  4 Mg 2.80, 8 Ir 2.87

Values from the calculation:
Its polymorph energy (0 for the lowest one) is 0.0 meV/atom. The density of states at the Fermi level comes out at 1.030 states/eV/atom. Its volume is 16.2 Å³ per atom. The calculation puts the theoretical density at 12.35 g cm⁻³. As for the energy relative to the elements: -1.095 eV per formula unit. Its magnetic moment is 0.000 Bohr magnetons per cell. Its space group is I4/mmm, No. 139.

Question: What is the theoretical density in the second record?
Answer: 12.35 g cm⁻³